A geometry-optimized Sm2TiVO6 structure. Source: Alexandria, functional PBE with a Hubbard U.

abc: 5.441 5.749 7.830
angles: 90.00 89.52 90.00
Positions (direct):
Sm  0.017  0.935  0.252
Sm  0.517  0.565  0.752
Sm  0.983  0.065  0.748
Sm  0.483  0.435  0.248
Ti  0.500  0.000  0.500
Ti  0.000  0.500  0.000
V  0.500  0.000  0.000
V  0.000  0.500  0.500
O  0.295  0.688  0.051
O  0.795  0.812  0.551
O  0.705  0.312  0.949
O  0.205  0.188  0.449
O  0.315  0.710  0.441
O  0.815  0.790  0.941
O  0.685  0.290  0.559
O  0.185  0.210  0.059
O  0.892  0.539  0.241
O  0.392  0.961  0.741
O  0.108  0.461  0.759
O  0.608  0.039  0.259

Computed properties:
final energy = -8.50 eV per atom
space-group type = P2_1/c